First-principles (PBE) data for a geometry-optimized Pa2BRh6 structure, as listed in the Alexandria database.

Computed properties:
* energy relative to the lowest polymorph listed for this composition: 0.000 eV per atom

Cell lengths 5.847, 5.847, 5.847 Å; angles 60.00, 60.00, 60.00 degrees
Fractional coordinates of all 9 atoms:
Pa1 0.750 0.750 0.750
Pa2 0.250 0.250 0.250
Rh1 0.255 0.745 0.745
Rh2 0.255 0.255 0.745
Rh3 0.745 0.745 0.255
Rh4 0.255 0.745 0.255
Rh5 0.745 0.255 0.745
Rh6 0.745 0.255 0.255
B1 0.000 0.000 0.000

---

First-principles (PBE) data for a geometry-optimized PaBRh structure, as listed in the Alexandria database.

Computed properties:
* energy relative to the lowest polymorph listed for this composition: 0.030 eV per atom

Cell lengths 3.737, 3.888, 3.888 Å; angles 120.00, 90.00, 90.00 degrees
Fractional coordinates of all 3 atoms:
Pa1 0.667 0.333 0.667
B1 0.167 0.000 0.000
Rh1 0.166 0.667 0.333

---

First-principles (PBE) data for a geometry-optimized PaBRh2 structure, as listed in the Alexandria database.

Computed properties:
* energy relative to the lowest polymorph listed for this composition: 0.000 eV per atom

Cell lengths 3.682, 5.246, 6.714 Å; angles 90.00, 90.00, 110.60 degrees
Fractional coordinates of all 8 atoms:
Rh1 0.353 0.704 0.954
Rh2 0.353 0.704 0.546
Rh3 0.647 0.296 0.046
Rh4 0.647 0.296 0.454
B1 0.781 0.562 0.750
B2 0.219 0.438 0.250
Pa1 0.066 0.134 0.750
Pa2 0.934 0.866 0.250

---

First-principles (PBE) data for a geometry-optimized PaB2Rh structure, as listed in the Alexandria database.

Computed properties:
* energy relative to the lowest polymorph listed for this composition: 0.000 eV per atom

Cell lengths 3.740, 5.857, 9.594 Å; angles 90.00, 90.00, 90.00 degrees
Fractional coordinates of all 16 atoms:
Rh1 0.250 0.139 0.564
Rh2 0.750 0.861 0.436
Rh3 0.750 0.361 0.064
Rh4 0.250 0.639 0.936
B1 0.250 0.713 0.321
B2 0.750 0.787 0.821
B3 0.250 0.515 0.181
B4 0.750 0.485 0.819
B5 0.750 0.287 0.679
B6 0.250 0.015 0.319
B7 0.250 0.213 0.179
B8 0.750 0.985 0.681
Pa1 0.750 0.361 0.368
Pa2 0.250 0.639 0.632
Pa3 0.750 0.861 0.132
Pa4 0.250 0.139 0.868

---

First-principles (PBE) data for a geometry-optimized PaB2Rh structure, as listed in the Alexandria database.

Computed properties:
* energy relative to the lowest polymorph listed for this composition: 0.220 eV per atom

Cell lengths 3.753, 3.753, 4.900 Å; angles 67.48, 67.48, 60.00 degrees
Fractional coordinates of all 4 atoms:
B1 0.788 0.788 0.637
B2 0.212 0.212 0.363
Pa1 0.000 0.000 0.000
Rh1 0.500 0.500 0.500

---

First-principles (PBE) data for a geometry-optimized PaB2Rh4 structure, as listed in the Alexandria database.

Computed properties:
* energy relative to the lowest polymorph listed for this composition: 0.127 eV per atom

Cell lengths 5.474, 5.474, 7.727 Å; angles 110.74, 110.74, 90.27 degrees
Fractional coordinates of all 14 atoms:
Rh1 0.940 0.175 0.342
Rh2 0.821 0.117 0.672
Rh3 0.367 0.571 0.172
Rh4 0.849 0.583 0.159
Rh5 0.833 0.599 0.659
Rh6 0.400 0.194 0.828
Rh7 0.425 0.690 0.842
Rh8 0.444 0.150 0.328
B1 0.111 0.467 0.869
B2 0.598 0.241 0.131
B3 0.491 0.348 0.631
B4 0.717 0.861 0.369
Pa1 0.002 0.003 0.000
Pa2 0.253 0.752 0.500

---

First-principles (PBE) data for a geometry-optimized PaBRh3 structure, as listed in the Alexandria database.

Computed properties:
* energy relative to the lowest polymorph listed for this composition: 0.062 eV per atom

Cell lengths 3.881, 8.212, 9.453 Å; angles 90.00, 90.00, 90.00 degrees
Fractional coordinates of all 20 atoms:
Pa1 0.250 0.195 0.006
Pa2 0.750 0.805 0.994
Pa3 0.750 0.305 0.506
Pa4 0.250 0.695 0.494
Rh1 0.250 0.863 0.219
Rh2 0.250 0.583 0.069
Rh3 0.750 0.615 0.285
Rh4 0.750 0.637 0.719
Rh5 0.750 0.137 0.781
Rh6 0.250 0.363 0.281
Rh7 0.250 0.885 0.785
Rh8 0.750 0.917 0.569
Rh9 0.250 0.385 0.715
Rh10 0.750 0.115 0.215
Rh11 0.250 0.083 0.431
Rh12 0.750 0.417 0.931
B1 0.250 0.109 0.664
B2 0.750 0.891 0.336
B3 0.750 0.391 0.164
B4 0.250 0.609 0.836

---

First-principles (PBE) data for a geometry-optimized PaBRh5 structure, as listed in the Alexandria database.

Computed properties:
* energy relative to the lowest polymorph listed for this composition: 0.000 eV per atom

Cell lengths 3.952, 3.952, 6.663 Å; angles 90.00, 90.00, 90.00 degrees
Fractional coordinates of all 7 atoms:
Rh1 0.500 0.500 0.500
Rh2 0.000 0.500 0.193
Rh3 0.000 0.500 0.807
Rh4 0.500 0.000 0.807
Rh5 0.500 0.000 0.193
B1 0.500 0.500 0.000
Pa1 0.000 0.000 0.500

---

First-principles (PBE) data for a geometry-optimized PaBRh5 structure, as listed in the Alexandria database.

Computed properties:
* energy relative to the lowest polymorph listed for this composition: 0.211 eV per atom

Cell lengths 5.387, 5.387, 9.065 Å; angles 67.44, 67.44, 89.07 degrees
Fractional coordinates of all 14 atoms:
Rh1 0.270 0.619 0.515
Rh2 0.730 0.381 0.485
Rh3 0.741 0.671 0.687
Rh4 0.381 0.730 0.985
Rh5 0.118 0.882 0.250
Rh6 0.619 0.270 0.015
Rh7 0.882 0.118 0.750
Rh8 0.259 0.329 0.313
Rh9 0.329 0.259 0.813
Rh10 0.671 0.741 0.187
Pa1 0.780 0.220 0.250
Pa2 0.220 0.780 0.750
B1 0.000 0.000 0.000
B2 0.000 0.000 0.500

---

First-principles (PBE) data for a geometry-optimized TmPaB2Rh5 structure, as listed in the Alexandria database.

Cell lengths 4.136, 4.136, 8.166 Å; angles 90.00, 90.00, 90.00 degrees
Fractional coordinates of all 9 atoms:
Rh1 0.000 0.500 0.245
Rh2 0.500 0.000 0.245
Rh3 0.000 0.500 0.755
Rh4 0.500 0.500 0.500
Rh5 0.500 0.000 0.755
Pa1 0.000 0.000 0.000
Tm1 0.000 0.000 0.500
B1 0.500 0.500 0.213
B2 0.500 0.500 0.787

---

First-principles (PBE) data for a geometry-optimized PaB4Ru structure, as listed in the Alexandria database.

Computed properties:
* energy relative to the lowest polymorph listed for this composition: 0.000 eV per atom

Cell lengths 3.602, 5.987, 5.987 Å; angles 104.11, 90.00, 90.00 degrees
Fractional coordinates of all 12 atoms:
Pa1 0.000 0.700 0.300
Pa2 0.000 0.300 0.700
B1 0.500 0.909 0.091
B2 0.500 0.618 0.935
B3 0.500 0.382 0.065
B4 0.500 0.935 0.618
B5 0.500 0.622 0.622
B6 0.500 0.091 0.909
B7 0.500 0.378 0.378
B8 0.500 0.065 0.382
Ru1 0.000 0.811 0.811
Ru2 0.000 0.189 0.189

---

First-principles (PBE) data for a geometry-optimized PaB2Ru structure, as listed in the Alexandria database.

Computed properties:
* energy relative to the lowest polymorph listed for this composition: 0.127 eV per atom

Cell lengths 3.758, 3.758, 4.892 Å; angles 67.42, 67.42, 60.00 degrees
Fractional coordinates of all 4 atoms:
Pa1 0.500 0.500 0.500
B1 0.709 0.709 0.872
B2 0.291 0.291 0.128
Ru1 0.000 0.000 0.000

---

First-principles (PBE) data for a geometry-optimized PaB2Ru structure, as listed in the Alexandria database.

Computed properties:
* energy relative to the lowest polymorph listed for this composition: 0.000 eV per atom

Cell lengths 4.028, 3.626, 4.864 Å; angles 73.09, 65.54, 56.25 degrees
Fractional coordinates of all 4 atoms:
B1 0.674 0.272 0.380
B2 0.326 0.728 0.620
Ru1 0.000 0.500 0.500
Pa1 0.500 0.000 0.000

---

First-principles (PBE) data for a geometry-optimized PaBRu structure, as listed in the Alexandria database.

Computed properties:
* energy relative to the lowest polymorph listed for this composition: 0.000 eV per atom

Cell lengths 3.137, 4.975, 6.493 Å; angles 109.52, 103.98, 90.00 degrees
Fractional coordinates of all 6 atoms:
Ru1 0.604 0.756 0.209
Ru2 0.396 0.244 0.791
Pa1 0.125 0.286 0.249
Pa2 0.875 0.714 0.751
B1 0.234 0.876 0.468
B2 0.766 0.124 0.532

---

First-principles (PBE) data for a geometry-optimized Pa2B10Ru structure, as listed in the Alexandria database.

Cell lengths 4.134, 5.651, 11.301 Å; angles 90.00, 90.00, 90.00 degrees
Fractional coordinates of all 26 atoms:
Pa1 0.500 0.213 0.366
Pa2 0.500 0.287 0.866
Pa3 0.500 0.713 0.134
Pa4 0.500 0.787 0.634
B1 0.697 0.220 0.119
B2 0.000 0.617 0.958
B3 0.000 0.117 0.542
B4 0.303 0.280 0.619
B5 0.000 0.132 0.697
B6 0.000 0.444 0.693
B7 0.303 0.780 0.881
B8 0.000 0.868 0.303
B9 0.000 0.368 0.197
B10 0.000 0.056 0.193
B11 0.303 0.220 0.119
B12 0.000 0.883 0.458
B13 0.697 0.780 0.881
B14 0.303 0.720 0.381
B15 0.697 0.280 0.619
B16 0.000 0.556 0.307
B17 0.697 0.720 0.381
B18 0.000 0.944 0.807
B19 0.000 0.383 0.042
B20 0.000 0.632 0.803
Ru1 0.000 0.500 0.500
Ru2 0.000 0.000 0.000

---

First-principles (PBE) data for a geometry-optimized PaB2Ru2 structure, as listed in the Alexandria database.

Cell lengths 3.828, 4.078, 8.631 Å; angles 92.56, 90.00, 90.00 degrees
Fractional coordinates of all 10 atoms:
B1 0.750 0.237 0.373
B2 0.250 0.763 0.627
B3 0.250 0.321 0.992
B4 0.750 0.679 0.008
Ru1 0.250 0.250 0.501
Ru2 0.750 0.750 0.499
Ru3 0.750 0.177 0.102
Ru4 0.250 0.823 0.898
Pa1 0.750 0.283 0.747
Pa2 0.250 0.717 0.253

---

First-principles (PBE) data for a geometry-optimized PaBRu structure, as listed in the Alexandria database.

Computed properties:
* energy relative to the lowest polymorph listed for this composition: 0.112 eV per atom

Cell lengths 3.925, 3.780, 3.780 Å; angles 120.00, 90.00, 90.00 degrees
Fractional coordinates of all 3 atoms:
Pa1 0.667 0.667 0.333
Ru1 0.167 0.333 0.667
B1 0.167 0.000 0.000

---

First-principles (PBE) data for a geometry-optimized Pa3B8Ru3 structure, as listed in the Alexandria database.

Cell lengths 3.287, 7.369, 7.369 Å; angles 77.76, 77.11, 77.11 degrees
Fractional coordinates of all 14 atoms:
Ru1 0.000 0.768 0.232
Ru2 0.000 0.232 0.768
Ru3 0.500 0.000 0.000
B1 0.351 0.394 0.905
B2 0.649 0.095 0.606
B3 0.351 0.905 0.394
B4 0.815 0.503 0.866
B5 0.649 0.606 0.095
B6 0.815 0.866 0.503
B7 0.185 0.497 0.134
B8 0.185 0.134 0.497
Pa1 0.500 0.500 0.500
Pa2 0.800 0.200 0.200
Pa3 0.200 0.800 0.800

---

First-principles (PBE) data for a geometry-optimized PaB4Ru4 structure, as listed in the Alexandria database.

Cell lengths 5.392, 5.392, 7.329 Å; angles 90.00, 90.00, 90.00 degrees
Fractional coordinates of all 18 atoms:
B1 0.332 0.000 0.349
B2 0.668 0.000 0.349
B3 0.000 0.668 0.651
B4 0.000 0.332 0.651
B5 0.500 0.168 0.849
B6 0.500 0.832 0.849
B7 0.832 0.500 0.151
B8 0.168 0.500 0.151
Pa1 0.000 0.000 0.000
Pa2 0.500 0.500 0.500
Ru1 0.256 0.500 0.857
Ru2 0.500 0.256 0.143
Ru3 0.756 0.000 0.643
Ru4 0.000 0.756 0.357
Ru5 0.000 0.244 0.357
Ru6 0.244 0.000 0.643
Ru7 0.744 0.500 0.857
Ru8 0.500 0.744 0.143

---

First-principles (PBE) data for a geometry-optimized Pa3B2Ru9 structure, as listed in the Alexandria database.

Cell lengths 5.860, 5.860, 7.182 Å; angles 90.00, 90.00, 120.00 degrees
Fractional coordinates of all 14 atoms:
Ru1 0.323 0.161 0.338
Ru2 0.500 0.000 0.000
Ru3 0.677 0.839 0.662
Ru4 0.839 0.161 0.338
Ru5 0.161 0.839 0.662
Ru6 0.000 0.500 0.000
Ru7 0.839 0.677 0.338
Ru8 0.500 0.500 0.000
Ru9 0.161 0.323 0.662
B1 0.333 0.667 0.818
B2 0.667 0.333 0.182
Pa1 0.667 0.333 0.662
Pa2 0.000 0.000 0.000
Pa3 0.333 0.667 0.338

---

First-principles (PBE) data for a geometry-optimized Pa2BRu5 structure, as listed in the Alexandria database.

Cell lengths 5.731, 5.731, 5.737 Å; angles 120.03, 120.03, 89.99 degrees
Fractional coordinates of all 8 atoms:
Ru1 0.742 0.255 0.997
Ru2 0.255 0.255 0.997
Ru3 0.742 0.742 0.997
Ru4 0.255 0.742 0.997
Ru5 0.752 0.752 0.504
B1 0.036 0.036 0.072
Pa1 0.747 0.248 0.495
Pa2 0.248 0.747 0.495

---

First-principles (PBE) data for a geometry-optimized Pa3B2Ru7 structure, as listed in the Alexandria database.

Cell lengths 4.191, 4.188, 10.938 Å; angles 101.04, 90.00, 90.00 degrees
Fractional coordinates of all 12 atoms:
Pa1 0.500 0.310 0.620
Pa2 0.500 0.500 0.000
Pa3 0.500 0.690 0.380
Ru1 0.000 0.597 0.194
Ru2 0.000 0.801 0.601
Ru3 0.500 0.904 0.808
Ru4 0.000 0.403 0.806
Ru5 0.500 0.096 0.192
Ru6 0.000 0.000 0.000
Ru7 0.000 0.199 0.399
B1 0.000 0.898 0.797
B2 0.000 0.102 0.203

---

no.,total magnetization (μB per cell),formation energy from the elements (eV per atom)
1,0.0,-0.937
2,0.0,-0.477
3,0.0,-0.584
4,0.0,-0.606
5,0.0,-0.386
6,0.0,-0.481
7,0.0,-0.642
8,0.0,-0.485
9,0.0,-0.274
10,0.0,-0.728
11,0.0,-0.638
12,0.0,-0.284
13,0.0,-0.411
14,0.0,-0.445
15,0.0,-0.518
16,0.0,-0.425
17,0.0,-0.332
18,0.0,-0.229
19,0.0,-0.508
20,0.0,-0.589
21,0.0,-0.469
22,0.0,-0.564